1.
K2CdGe3Au4: relaxed, PBE.

Results
total DFT energy (no corrections): -3.214 eV per atom
formation energy from the elements: -20 kJ per mole of atoms

abc: 4.7930 4.7930 10.3611
angles: 90.00 90.00 90.00
Last column: nearest neighbours and their distance in Å.
Sites, in units of the cell vectors:
K 0.5000 0.0000 0.2470  8 Au 3.51-3.59, 7 Ge 3.55-3.72, 2 Cd 3.55
K 0.0000 0.5000 0.7530  8 Au 3.51-3.59, 2 Cd 3.55, 7 Ge 3.55-3.72
Cd 0.5000 0.5000 0.5000  4 Au 2.79
Ge 0.0000 0.0000 0.5000  4 Au 2.79
Ge 0.5000 0.0000 0.8884  5 Au 2.60-2.66
Ge 0.0000 0.5000 0.1116  5 Au 2.60-2.66
Au 0.5000 0.5000 0.0000  4 Ge 2.66
Au 0.0000 0.0000 0.0000  4 Ge 2.66
Au 0.5000 0.0000 0.6374  3 Ge 2.60-2.79, 2 Cd 2.79
Au 0.0000 0.5000 0.3626  3 Ge 2.60-2.79, 2 Cd 2.79

=====

2.
KCd2GeAu4: relaxed, PBE.

Results
total DFT energy (no corrections): -2.662 eV per atom
formation energy from the elements: -8 kJ per mole of atoms

abc: 4.7021 4.7021 10.3950
angles: 76.93 76.93 60.00
Last column: nearest neighbours and their distance in Å.
Sites, in units of the cell vectors:
K 0.0000 0.0000 0.0000  6 Au 3.57, 6 Cd 3.82
Cd 0.7559 0.7559 0.7322  3 Au 2.74
Cd 0.2441 0.2441 0.2678  3 Au 2.74
Ge 0.5000 0.5000 0.5000  8 Au 2.70-2.84
Au 0.4102 0.4102 0.7693  1 Ge 2.70, 3 Cd 2.74
Au 0.8607 0.8607 0.4180  3 Ge 2.84, 4 Cd 3.11-3.15, 3 Au 3.17
Au 0.1393 0.1393 0.5820  3 Ge 2.84, 4 Cd 3.11-3.15, 3 Au 3.17
Au 0.5898 0.5898 0.2307  1 Ge 2.70, 3 Cd 2.74

=====

3.
K2CdGeAu: relaxed, PBE.

Results
total DFT energy (no corrections): -2.232 eV per atom
formation energy from the elements: -3 kJ per mole of atoms

abc: 6.4900 6.4900 4.7411
angles: 90.00 90.00 90.00
Last column: nearest neighbours and their distance in Å.
Sites, in units of the cell vectors:
Ge 0.0000 0.0000 0.5000  2 Au 2.37
Au 0.0000 0.0000 0.0000  2 Ge 2.37
K 0.0000 0.5000 0.0000  2 Au 3.25
K 0.5000 0.0000 0.0000  2 Au 3.25
Cd 0.5000 0.5000 0.5000  8 K 4.02

=====

4.
K2CdGeAu6: relaxed, PBE.

Results
total DFT energy (no corrections): -2.961 eV per atom
formation energy from the elements: -21 kJ per mole of atoms

abc: 7.0293 7.4003 7.0324
angles: 61.64 60.01 90.01
Last column: nearest neighbours and their distance in Å.
Sites, in units of the cell vectors:
K 0.7067 0.1196 0.5867  12 Au 3.56-3.88, 1 Ge 3.83
K 0.2933 0.8804 0.4133  12 Au 3.56-3.88, 1 Ge 3.83
Cd 0.0000 0.0000 0.0000  6 Au 2.80
Ge 0.5000 0.5000 0.0000  6 Au 2.56
Au 0.2568 0.3686 0.4865  1 Ge 2.56, 1 Cd 2.80, 2 Au 2.82
Au 0.7432 0.6309 0.1125  1 Ge 2.56, 1 Cd 2.80, 2 Au 2.82
Au 0.1444 0.6311 0.1124  1 Ge 2.56, 1 Cd 2.80, 2 Au 2.82
Au 0.8556 0.3689 0.8876  1 Ge 2.56, 1 Cd 2.80, 2 Au 2.82
Au 0.2568 0.3691 0.8875  1 Ge 2.56, 1 Cd 2.80, 2 Au 2.82
Au 0.7432 0.6314 0.5135  1 Ge 2.56, 1 Cd 2.80, 2 Au 2.82